[1]
GGA-PBE Cd7In2Pb3, relaxed; mass density = 8.5 g cm⁻³; ΔH_f (0 K) = 75 meV per atom
1.0
2.942 1.698 10.684
-2.942 1.698 10.684
0.000 -3.397 10.684
Cd In Pb
7 2 3
direct
0.000 0.000 0.000 Cd
0.088 0.088 0.583 Cd
0.088 0.583 0.088 Cd
0.417 0.912 0.912 Cd
0.583 0.088 0.088 Cd
0.912 0.417 0.912 Cd
0.912 0.912 0.417 Cd
0.166 0.166 0.166 In
0.834 0.834 0.834 In
0.358 0.358 0.358 Pb
0.500 0.500 0.500 Pb
0.642 0.642 0.642 Pb


[2]
GGA-PBE CdInPb2, relaxed; mass density = 9.3 g cm⁻³; ΔH_f (0 K) = 36 meV per atom
1.0
5.653 -1.776 0.000
5.653 1.776 0.000
-1.213 0.000 5.707
Cd In Pb
1 1 2
direct
0.000 0.000 0.000 Cd
0.260 0.260 0.748 In
0.506 0.506 0.514 Pb
0.749 0.749 0.223 Pb


[3]
GGA-PBE Cd4In3Pb, relaxed; mass density = 7.9 g cm⁻³; ΔH_f (0 K) = 53 meV per atom
1.0
8.129 -2.704 0.000
8.129 2.704 0.000
-1.549 0.000 4.776
Cd In Pb
4 3 1
direct
0.135 0.135 0.134 Cd
0.248 0.248 0.747 Cd
0.752 0.752 0.253 Cd
0.865 0.865 0.866 Cd
0.368 0.368 0.368 In
0.500 0.500 0.000 In
0.632 0.632 0.632 In
0.000 0.000 0.500 Pb


[4]
GGA-PBE CdIn6Pb4, relaxed; mass density = 8.2 g cm⁻³; ΔH_f (0 K) = 94 meV per atom
1.0
-3.163 3.163 8.297
3.163 -3.163 8.297
3.163 3.163 -8.297
Cd In Pb
1 6 4
direct
0.000 0.000 0.000 Cd
0.000 0.500 0.500 In
0.012 0.012 0.381 In
0.370 0.988 0.000 In
0.500 0.000 0.500 In
0.630 0.630 0.619 In
0.988 0.370 0.000 In
0.185 0.560 0.000 Pb
0.440 0.440 0.625 Pb
0.560 0.185 0.000 Pb
0.815 0.815 0.375 Pb


[5]
GGA-PBE CdIn8Pb3, relaxed; mass density = 8.1 g cm⁻³; ΔH_f (0 K) = 32 meV per atom
1.0
7.666 -2.824 0.000
7.666 2.824 0.000
-7.287 0.000 7.811
Cd In Pb
1 8 3
direct
0.000 0.000 0.000 Cd
0.000 0.998 0.324 In
0.002 0.000 0.676 In
0.128 0.358 0.411 In
0.128 0.361 0.077 In
0.500 0.499 0.833 In
0.501 0.500 0.167 In
0.639 0.872 0.923 In
0.642 0.872 0.589 In
0.136 0.367 0.751 Pb
0.497 0.503 0.500 Pb
0.633 0.864 0.249 Pb


[6]
GGA-PBE CdIn2Pb, relaxed; mass density = 8.2 g cm⁻³; ΔH_f (0 K) = 44 meV per atom
1.0
1.900 -2.717 0.000
1.900 2.717 0.000
0.000 0.000 10.711
Cd In Pb
1 2 1
direct
0.000 0.000 0.000 Cd
0.000 0.000 0.481 In
0.500 0.500 0.234 In
0.500 0.500 0.748 Pb


Number 1: N(E_F) 7.0 states/eV/f.u.. Number 2: N(E_F) 1.7 states/eV/f.u.. Number 3: N(E_F) 2.7 states/eV/f.u.. Number 4: N(E_F) 4.4 states/eV/f.u.. Number 5: N(E_F) 5.5 states/eV/f.u.. Number 6: N(E_F) 1.4 states/eV/f.u..